Arrangement one

PuTlSnBi: optimized geometry, GGA-PBE.

Lattice parameters (Å, degrees): 4.5193 4.5193 11.0394 90.00 90.00 90.00
Sites, in units of the cell vectors:
Pu (0.2500, 0.2500, 0.2328)
Pu (0.7500, 0.7500, 0.7672)
Tl (0.2500, 0.7500, 0.5000)
Tl (0.7500, 0.2500, 0.5000)
Sn (0.2500, 0.7500, 0.0000)
Sn (0.7500, 0.2500, 0.0000)
Bi (0.2500, 0.2500, 0.7467)
Bi (0.7500, 0.7500, 0.2533)

Summary:
- ρ: 11431 kg/m³
- Fermi-level density of states: 11.6 states/eV/f.u.


Arrangement two

PuTlSnBi: optimized geometry, GGA-PBE.

Lattice parameters (Å, degrees): 7.7957 7.7957 7.7957 90.00 90.00 90.00
Sites, in units of the cell vectors:
Pu (0.0000, 0.0000, 0.0000)
Pu (0.0000, 0.5000, 0.5000)
Pu (0.5000, 0.0000, 0.5000)
Pu (0.5000, 0.5000, 0.0000)
Tl (0.0000, 0.0000, 0.5000)
Tl (0.0000, 0.5000, 0.0000)
Tl (0.5000, 0.0000, 0.0000)
Tl (0.5000, 0.5000, 0.5000)
Sn (0.2500, 0.2500, 0.7500)
Sn (0.2500, 0.7500, 0.2500)
Sn (0.7500, 0.2500, 0.2500)
Sn (0.7500, 0.7500, 0.7500)
Bi (0.2500, 0.2500, 0.2500)
Bi (0.2500, 0.7500, 0.7500)
Bi (0.7500, 0.2500, 0.7500)
Bi (0.7500, 0.7500, 0.2500)

Summary:
- ρ: 10881 kg/m³
- Fermi-level density of states: 14.0 states/eV/f.u.


Verdict on stability: arrangement one comes out on top.


Arrangement one

SrPuBi2: optimized geometry, GGA-PBE.

Lattice parameters (Å, degrees): 4.6873 4.6873 23.3988 90.00 90.00 120.00
Sites, in units of the cell vectors:
Sr (0.0000, 0.0000, 0.0000)
Sr (0.3333, 0.6667, 0.6667)
Sr (0.6667, 0.3333, 0.3333)
Pu (0.0000, 0.0000, 0.1714)
Pu (0.3333, 0.6667, 0.8380)
Pu (0.6667, 0.3333, 0.5047)
Bi (0.0000, 0.0000, 0.5764)
Bi (0.0000, 0.0000, 0.7633)
Bi (0.3333, 0.6667, 0.2431)
Bi (0.3333, 0.6667, 0.4300)
Bi (0.6667, 0.3333, 0.0966)
Bi (0.6667, 0.3333, 0.9098)

Summary:
- ρ: 8387 kg/m³
- Fermi-level density of states: 15.6 states/eV/f.u.


Arrangement two

SrPuBi2: optimized geometry, GGA-PBE.

Lattice parameters (Å, degrees): 3.8027 3.8027 8.8615 90.00 90.00 90.00
Sites, in units of the cell vectors:
Sr (0.0000, 0.0000, 0.0000)
Pu (0.0000, 0.0000, 0.5000)
Bi (0.5000, 0.5000, 0.2625)
Bi (0.5000, 0.5000, 0.7375)

Summary:
- ρ: 9714 kg/m³
- Fermi-level density of states: 12.2 states/eV/f.u.


Verdict on stability: arrangement two comes out on top.


Arrangement one

SrPuBi: optimized geometry, GGA-PBE.

Lattice parameters (Å, degrees): 4.7540 4.7540 9.1705 90.00 90.00 90.00
Sites, in units of the cell vectors:
Sr (0.2500, 0.2500, 0.1496)
Sr (0.7500, 0.7500, 0.8504)
Pu (0.2500, 0.7500, 0.5000)
Pu (0.7500, 0.2500, 0.5000)
Bi (0.2500, 0.2500, 0.7639)
Bi (0.7500, 0.7500, 0.2361)

Summary:
- ρ: 8662 kg/m³
- Fermi-level density of states: 6.9 states/eV/f.u.


Arrangement two

SrPuBi: optimized geometry, GGA-PBE.

Lattice parameters (Å, degrees): 14.1907 14.1907 14.1907 15.99 15.99 15.99
Sites, in units of the cell vectors:
Sr (0.1243, 0.1243, 0.1243)
Sr (0.8757, 0.8757, 0.8757)
Pu (0.3433, 0.3433, 0.3433)
Pu (0.6567, 0.6567, 0.6567)
Bi (0.2698, 0.2698, 0.2698)
Bi (0.7302, 0.7302, 0.7302)

Summary:
- ρ: 9501 kg/m³
- Fermi-level density of states: 3.7 states/eV/f.u.


Verdict on stability: arrangement one comes out on top.


Arrangement one

Pu2TcBi: optimized geometry, GGA-PBE.

Lattice parameters (Å, degrees): 4.5527 4.5527 4.4238 90.00 90.00 90.00
Sites, in units of the cell vectors:
Pu (0.0000, 0.5000, 0.0000)
Pu (0.5000, 0.0000, 0.0000)
Tc (0.0000, 0.0000, 0.5000)
Bi (0.5000, 0.5000, 0.5000)

Summary:
- ρ: 14397 kg/m³
- Fermi-level density of states: 9.2 states/eV/f.u.


Arrangement two

Pu2TcBi: optimized geometry, GGA-PBE.

Lattice parameters (Å, degrees): 3.8713 3.8713 6.1646 90.00 90.00 90.00
Sites, in units of the cell vectors:
Pu (0.0000, 0.0000, 0.2272)
Pu (0.0000, 0.0000, 0.7728)
Tc (0.5000, 0.5000, 0.0000)
Bi (0.5000, 0.5000, 0.5000)

Summary:
- ρ: 14289 kg/m³
- Fermi-level density of states: 10.8 states/eV/f.u.


Verdict on stability: arrangement two comes out on top.


Arrangement one

PuBiTe2: optimized geometry, GGA-PBE.

Lattice parameters (Å, degrees): 5.4374 5.4374 3.9470 90.00 90.00 90.00
Sites, in units of the cell vectors:
Pu (0.0000, 0.0000, 0.0000)
Bi (0.5000, 0.5000, 0.0000)
Te (0.0000, 0.5000, 0.5000)
Te (0.5000, 0.0000, 0.5000)

Summary:
- ρ: 10078 kg/m³
- Fermi-level density of states: 10.8 states/eV/f.u.


Arrangement two

PuBiTe2: optimized geometry, GGA-PBE.

Lattice parameters (Å, degrees): 4.3240 4.3240 29.8633 90.00 90.00 120.00
Sites, in units of the cell vectors:
Pu (0.0000, 0.0000, 0.0000)
Pu (0.3333, 0.6667, 0.6667)
Pu (0.6667, 0.3333, 0.3333)
Bi (0.0000, 0.0000, 0.5000)
Bi (0.3333, 0.6667, 0.1667)
Bi (0.6667, 0.3333, 0.8333)
Te (0.0000, 0.0000, 0.1036)
Te (0.0000, 0.0000, 0.8964)
Te (0.3333, 0.6667, 0.5630)
Te (0.3333, 0.6667, 0.7703)
Te (0.6667, 0.3333, 0.2297)
Te (0.6667, 0.3333, 0.4370)

Summary:
- ρ: 7296 kg/m³
- Fermi-level density of states: 16.8 states/eV/f.u.


Verdict on stability: arrangement one comes out on top.


Arrangement one

PuThBiTe: optimized geometry, GGA-PBE.

Lattice parameters (Å, degrees): 4.5144 4.5144 6.3843 90.00 90.00 90.00
Sites, in units of the cell vectors:
Pu (0.0000, 0.0000, 0.0000)
Th (0.5000, 0.5000, 0.5000)
Bi (0.5000, 0.5000, 0.0000)
Te (0.0000, 0.0000, 0.5000)

Summary:
- ρ: 10371 kg/m³
- Fermi-level density of states: 13.7 states/eV/f.u.


Arrangement two

PuThBiTe: optimized geometry, GGA-PBE.

Lattice parameters (Å, degrees): 7.7656 7.7656 7.7656 90.00 90.00 90.00
Sites, in units of the cell vectors:
Pu (0.0000, 0.0000, 0.0000)
Pu (0.0000, 0.5000, 0.5000)
Pu (0.5000, 0.0000, 0.5000)
Pu (0.5000, 0.5000, 0.0000)
Th (0.0000, 0.0000, 0.5000)
Th (0.0000, 0.5000, 0.0000)
Th (0.5000, 0.0000, 0.0000)
Th (0.5000, 0.5000, 0.5000)
Bi (0.2500, 0.2500, 0.7500)
Bi (0.2500, 0.7500, 0.2500)
Bi (0.7500, 0.2500, 0.2500)
Bi (0.7500, 0.7500, 0.7500)
Te (0.2500, 0.2500, 0.2500)
Te (0.2500, 0.7500, 0.7500)
Te (0.7500, 0.2500, 0.7500)
Te (0.7500, 0.7500, 0.2500)

Summary:
- ρ: 11526 kg/m³
- Fermi-level density of states: 7.7 states/eV/f.u.


Verdict on stability: arrangement one comes out on top.


Arrangement one

PuThBi: optimized geometry, GGA-PBE.

Lattice parameters (Å, degrees): 4.8705 15.6948 4.5542 90.00 90.00 90.00
Sites, in units of the cell vectors:
Pu (0.0000, 0.0000, 0.0000)
Pu (0.0000, 0.5000, 0.5000)
Pu (0.5000, 0.0000, 0.5000)
Pu (0.5000, 0.5000, 0.0000)
Th (0.0000, 0.1634, 0.5000)
Th (0.0000, 0.8366, 0.5000)
Th (0.5000, 0.3366, 0.5000)
Th (0.5000, 0.6634, 0.5000)
Bi (0.0000, 0.3483, 0.0000)
Bi (0.0000, 0.6517, 0.0000)
Bi (0.5000, 0.1517, 0.0000)
Bi (0.5000, 0.8483, 0.0000)

Summary:
- ρ: 13070 kg/m³
- Fermi-level density of states: 8.9 states/eV/f.u.


Arrangement two

PuThBi: optimized geometry, GGA-PBE.

Lattice parameters (Å, degrees): 4.4584 4.4584 9.2354 90.00 90.00 90.00
Sites, in units of the cell vectors:
Pu (0.2500, 0.7500, 0.0000)
Pu (0.7500, 0.2500, 0.0000)
Th (0.2500, 0.2500, 0.3669)
Th (0.7500, 0.7500, 0.6331)
Bi (0.2500, 0.2500, 0.7284)
Bi (0.7500, 0.7500, 0.2716)

Summary:
- ρ: 12393 kg/m³
- Fermi-level density of states: 8.3 states/eV/f.u.


Verdict on stability: arrangement two comes out on top.


Arrangement one

PuTiBi: optimized geometry, GGA-PBE.

Lattice parameters (Å, degrees): 4.8609 4.8609 3.7629 90.00 90.00 120.00
Sites, in units of the cell vectors:
Pu (0.0000, 0.0000, 0.0000)
Ti (0.3333, 0.6667, 0.5000)
Bi (0.6667, 0.3333, 0.5000)

Summary:
- ρ: 10801 kg/m³
- Fermi-level density of states: 8.6 states/eV/f.u.


Arrangement two

PuTiBi: optimized geometry, GGA-PBE.

Lattice parameters (Å, degrees): 4.6292 14.9378 3.7600 90.00 90.00 90.00
Sites, in units of the cell vectors:
Pu (0.0000, 0.0479, 0.2500)
Pu (0.0000, 0.9521, 0.7500)
Pu (0.5000, 0.4521, 0.7500)
Pu (0.5000, 0.5479, 0.2500)
Ti (0.0000, 0.2416, 0.7500)
Ti (0.0000, 0.7584, 0.2500)
Ti (0.5000, 0.2584, 0.2500)
Ti (0.5000, 0.7416, 0.7500)
Bi (0.0000, 0.3825, 0.2500)
Bi (0.0000, 0.6175, 0.7500)
Bi (0.5000, 0.1175, 0.7500)
Bi (0.5000, 0.8825, 0.2500)

Summary:
- ρ: 12795 kg/m³
- Fermi-level density of states: 5.2 states/eV/f.u.


Verdict on stability: arrangement one comes out on top.


Arrangement one

PuTl2Bi: optimized geometry, GGA-PBE.

Lattice parameters (Å, degrees): 3.4782 3.4782 36.4617 90.00 90.00 120.00
Sites, in units of the cell vectors:
Pu (0.0000, 0.0000, 0.0000)
Pu (0.3333, 0.6667, 0.6667)
Pu (0.6667, 0.3333, 0.3333)
Tl (0.0000, 0.0000, 0.0892)
Tl (0.0000, 0.0000, 0.9108)
Tl (0.3333, 0.6667, 0.5774)
Tl (0.3333, 0.6667, 0.7559)
Tl (0.6667, 0.3333, 0.2441)
Tl (0.6667, 0.3333, 0.4226)
Bi (0.0000, 0.0000, 0.5000)
Bi (0.3333, 0.6667, 0.1667)
Bi (0.6667, 0.3333, 0.8333)

Summary:
- ρ: 11238 kg/m³
- Fermi-level density of states: 10.9 states/eV/f.u.


Arrangement two

PuTl2Bi: optimized geometry, GGA-PBE.

Lattice parameters (Å, degrees): 7.8324 7.8324 7.8324 90.00 90.00 90.00
Sites, in units of the cell vectors:
Pu (0.0000, 0.0000, 0.0000)
Pu (0.0000, 0.5000, 0.5000)
Pu (0.5000, 0.0000, 0.5000)
Pu (0.5000, 0.5000, 0.0000)
Tl (0.2500, 0.2500, 0.2500)
Tl (0.2500, 0.2500, 0.7500)
Tl (0.2500, 0.7500, 0.2500)
Tl (0.2500, 0.7500, 0.7500)
Tl (0.7500, 0.2500, 0.2500)
Tl (0.7500, 0.2500, 0.7500)
Tl (0.7500, 0.7500, 0.2500)
Tl (0.7500, 0.7500, 0.7500)
Bi (0.0000, 0.0000, 0.5000)
Bi (0.0000, 0.5000, 0.0000)
Bi (0.5000, 0.0000, 0.0000)
Bi (0.5000, 0.5000, 0.5000)

Summary:
- ρ: 11912 kg/m³
- Fermi-level density of states: 15.1 states/eV/f.u.


Verdict on stability: arrangement two comes out on top.


Arrangement one

Pu2TlBi: optimized geometry, GGA-PBE.

Lattice parameters (Å, degrees): 3.5538 3.5538 32.0814 90.00 90.00 120.00
Sites, in units of the cell vectors:
Pu (0.0000, 0.0000, 0.0000)
Pu (0.0000, 0.0000, 0.1681)
Pu (0.3333, 0.6667, 0.6667)
Pu (0.3333, 0.6667, 0.8348)
Pu (0.6667, 0.3333, 0.3333)
Pu (0.6667, 0.3333, 0.5014)
Tl (0.0000, 0.0000, 0.7507)
Tl (0.3333, 0.6667, 0.4174)
Tl (0.6667, 0.3333, 0.0840)
Bi (0.0000, 0.0000, 0.5842)
Bi (0.3333, 0.6667, 0.2509)
Bi (0.6667, 0.3333, 0.9175)

Summary:
- ρ: 12797 kg/m³
- Fermi-level density of states: 14.8 states/eV/f.u.


Arrangement two

Pu2TlBi: optimized geometry, GGA-PBE.

Lattice parameters (Å, degrees): 4.9109 4.9109 4.6484 90.00 90.00 90.00
Sites, in units of the cell vectors:
Pu (0.0000, 0.5000, 0.0000)
Pu (0.5000, 0.0000, 0.0000)
Tl (0.0000, 0.0000, 0.5000)
Bi (0.5000, 0.5000, 0.5000)

Summary:
- ρ: 13351 kg/m³
- Fermi-level density of states: 15.0 states/eV/f.u.


Arrangement three

Pu2TlBi: optimized geometry, GGA-PBE.

Lattice parameters (Å, degrees): 7.6969 7.6969 7.6969 90.00 90.00 90.00
Sites, in units of the cell vectors:
Pu (0.2500, 0.2500, 0.2500)
Pu (0.2500, 0.2500, 0.7500)
Pu (0.2500, 0.7500, 0.2500)
Pu (0.2500, 0.7500, 0.7500)
Pu (0.7500, 0.2500, 0.2500)
Pu (0.7500, 0.2500, 0.7500)
Pu (0.7500, 0.7500, 0.2500)
Pu (0.7500, 0.7500, 0.7500)
Tl (0.0000, 0.0000, 0.0000)
Tl (0.0000, 0.5000, 0.5000)
Tl (0.5000, 0.0000, 0.5000)
Tl (0.5000, 0.5000, 0.0000)
Bi (0.0000, 0.0000, 0.5000)
Bi (0.0000, 0.5000, 0.0000)
Bi (0.5000, 0.0000, 0.0000)
Bi (0.5000, 0.5000, 0.5000)

Summary:
- ρ: 13130 kg/m³
- Fermi-level density of states: 18.4 states/eV/f.u.


Arrangement four

Pu2TlBi: optimized geometry, GGA-PBE.

Lattice parameters (Å, degrees): 3.4286 3.4286 9.4638 90.00 90.00 90.00
Sites, in units of the cell vectors:
Pu (0.0000, 0.0000, 0.2476)
Pu (0.0000, 0.0000, 0.7524)
Tl (0.5000, 0.5000, 0.0000)
Bi (0.5000, 0.5000, 0.5000)

Summary:
- ρ: 13454 kg/m³
- Fermi-level density of states: 14.3 states/eV/f.u.


Verdict on stability: arrangement two comes out on top.


Arrangement one

TmPuBi2: optimized geometry, GGA-PBE.

Lattice parameters (Å, degrees): 7.7366 7.7366 7.7366 90.00 90.00 90.00
Sites, in units of the cell vectors:
Tm (0.0000, 0.0000, 0.0000)
Tm (0.0000, 0.5000, 0.5000)
Tm (0.5000, 0.0000, 0.5000)
Tm (0.5000, 0.5000, 0.0000)
Pu (0.0000, 0.0000, 0.5000)
Pu (0.0000, 0.5000, 0.0000)
Pu (0.5000, 0.0000, 0.0000)
Pu (0.5000, 0.5000, 0.5000)
Bi (0.2500, 0.2500, 0.2500)
Bi (0.2500, 0.2500, 0.7500)
Bi (0.2500, 0.7500, 0.2500)
Bi (0.2500, 0.7500, 0.7500)
Bi (0.7500, 0.2500, 0.2500)
Bi (0.7500, 0.2500, 0.7500)
Bi (0.7500, 0.7500, 0.2500)
Bi (0.7500, 0.7500, 0.7500)

Summary:
- ρ: 11918 kg/m³
- Fermi-level density of states: 13.6 states/eV/f.u.


Arrangement two

TmPuBi2: optimized geometry, GGA-PBE.

Lattice parameters (Å, degrees): 4.4845 4.4845 22.5240 90.00 90.00 120.00
Sites, in units of the cell vectors:
Tm (0.0000, 0.0000, 0.0000)
Tm (0.3333, 0.6667, 0.6667)
Tm (0.6667, 0.3333, 0.3333)
Pu (0.0000, 0.0000, 0.1704)
Pu (0.3333, 0.6667, 0.8370)
Pu (0.6667, 0.3333, 0.5037)
Bi (0.0000, 0.0000, 0.5852)
Bi (0.0000, 0.0000, 0.7518)
Bi (0.3333, 0.6667, 0.2518)
Bi (0.3333, 0.6667, 0.4185)
Bi (0.6667, 0.3333, 0.0851)
Bi (0.6667, 0.3333, 0.9185)

Summary:
- ρ: 10552 kg/m³
- Fermi-level density of states: 14.0 states/eV/f.u.


Arrangement three

TmPuBi2: optimized geometry, GGA-PBE.

Lattice parameters (Å, degrees): 4.4905 4.4905 21.9451 90.00 90.00 120.00
Sites, in units of the cell vectors:
Tm (0.0000, 0.0000, 0.0000)
Tm (0.3333, 0.6667, 0.6667)
Tm (0.6667, 0.3333, 0.3333)
Pu (0.0000, 0.0000, 0.5000)
Pu (0.3333, 0.6667, 0.1667)
Pu (0.6667, 0.3333, 0.8333)
Bi (0.0000, 0.0000, 0.2520)
Bi (0.0000, 0.0000, 0.7480)
Bi (0.3333, 0.6667, 0.4146)
Bi (0.3333, 0.6667, 0.9187)
Bi (0.6667, 0.3333, 0.0813)
Bi (0.6667, 0.3333, 0.5854)

Summary:
- ρ: 10801 kg/m³
- Fermi-level density of states: 15.2 states/eV/f.u.


Verdict on stability: arrangement three comes out on top.


Arrangement one

PuUBi2: optimized geometry, GGA-PBE.

Lattice parameters (Å, degrees): 4.4686 4.4686 22.6185 90.00 90.00 120.00
Sites, in units of the cell vectors:
Pu (0.0000, 0.0000, 0.0000)
Pu (0.3333, 0.6667, 0.6667)
Pu (0.6667, 0.3333, 0.3333)
U (0.0000, 0.0000, 0.5000)
U (0.3333, 0.6667, 0.1667)
U (0.6667, 0.3333, 0.8333)
Bi (0.0000, 0.0000, 0.2489)
Bi (0.0000, 0.0000, 0.7511)
Bi (0.3333, 0.6667, 0.4178)
Bi (0.3333, 0.6667, 0.9155)
Bi (0.6667, 0.3333, 0.0845)
Bi (0.6667, 0.3333, 0.5822)

Summary:
- ρ: 11462 kg/m³
- Fermi-level density of states: 19.8 states/eV/f.u.


Arrangement two

PuUBi2: optimized geometry, GGA-PBE.

Lattice parameters (Å, degrees): 7.6741 7.6741 7.6741 90.00 90.00 90.00
Sites, in units of the cell vectors:
Pu (0.0000, 0.0000, 0.0000)
Pu (0.0000, 0.5000, 0.5000)
Pu (0.5000, 0.0000, 0.5000)
Pu (0.5000, 0.5000, 0.0000)
U (0.0000, 0.0000, 0.5000)
U (0.0000, 0.5000, 0.0000)
U (0.5000, 0.0000, 0.0000)
U (0.5000, 0.5000, 0.5000)
Bi (0.2500, 0.2500, 0.2500)
Bi (0.2500, 0.2500, 0.7500)
Bi (0.2500, 0.7500, 0.2500)
Bi (0.2500, 0.7500, 0.7500)
Bi (0.7500, 0.2500, 0.2500)
Bi (0.7500, 0.2500, 0.7500)
Bi (0.7500, 0.7500, 0.2500)
Bi (0.7500, 0.7500, 0.7500)

Summary:
- ρ: 13227 kg/m³
- Fermi-level density of states: 13.6 states/eV/f.u.


Verdict on stability: arrangement two comes out on top.